A geometry-optimized PaZnPt2 structure, computed with PBE.

abc: 3.433 4.686 4.686
angles: 90.00 90.00 90.00
Fractional positions:
Pt: 0.000 0.000 0.500
Pa: 0.500 0.500 0.500
Zn: 0.500 0.000 0.000
Pt: 0.000 0.500 0.000

space-group type: P4/mmm, No. 123
uncorrected energy: -6.316 eV per atom